The following is a GGA-PBE calculation of an optimized crystal structure of MgCdHg2, from the Alexandria database.

Structure (CIF):
```
data_MgCdHg2
_cell_length_a 5.082
_cell_length_b 5.082
_cell_length_c 5.082
_cell_angle_alpha 60.00
_cell_angle_beta 60.00
_cell_angle_gamma 60.00
_symmetry_space_group_name_H-M 'P 1'
_symmetry_Int_Tables_number 1
_symmetry_space_group_name_Hall 'P 1'
loop_
_atom_site_label
_atom_site_type_symbol
_atom_site_fract_x
_atom_site_fract_y
_atom_site_fract_z
Mg1 Mg 0.000 0.000 0.000
Cd1 Cd 0.750 0.750 0.750
Hg1 Hg 0.250 0.250 0.250
Hg2 Hg 0.500 0.500 0.500
```

Properties
N(E_F) = 0.607 states/eV per atom
Crystal system = cubic
Energy of formation from the pure elements = -3 meV/atom